DFT (PBE) results for a relaxed MnH3Pd2 crystal.

Values from the calculation:
- crystal system = orthorhombic
- symmetry = No. 63
- DFT total energy (eV per atom) = -4.8937
- DOS(E_F) (states/eV per cell) = 2.3

Cell: 5.454 4.863 4.863 Å, 109.02 90.00 90.00°
Last column: magnetic moment on the atom in μB.
Fractional positions:
H (0.250, 0.842, 0.558)  -0.01
H (0.250, 0.941, 0.059)  -0.01
H (0.750, 0.558, 0.842)  -0.01
H (0.750, 0.059, 0.941)  -0.01
H (0.250, 0.442, 0.158)  -0.01
H (0.750, 0.158, 0.442)  -0.01
Pd (0.000, 0.249, 0.249)  0.12
Pd (0.500, 0.249, 0.249)  0.12
Pd (0.500, 0.751, 0.751)  0.12
Pd (0.000, 0.751, 0.751)  0.12
Mn (0.250, 0.260, 0.740)  4.00
Mn (0.750, 0.740, 0.260)  4.00



DFT (PBE) results for a relaxed MnHPd crystal.

Values from the calculation:
- crystal system = tetragonal
- symmetry = No. 107
- DFT total energy (eV per atom) = -5.7783
- DOS(E_F) (states/eV per cell) = 2.1

Cell: 2.730 2.730 4.900 Å, 106.17 106.17 90.00°
Last column: magnetic moment on the atom in μB.
Fractional positions:
H (0.527, 0.527, 0.055)  -0.04
Mn (0.021, 0.021, 0.042)  3.26
Pd (0.301, 0.301, 0.603)  0.22



DFT (PBE) results for a relaxed Mn3HPd crystal.

Values from the calculation:
- crystal system = cubic
- symmetry = No. 221
- excess energy over the best structure of this formula in the dataset (kJ per mole of atoms) = 111.87
- DFT total energy (eV per atom) = -5.9193
- DOS(E_F) (states/eV per cell) = 3.6

Cell: 4.900 4.900 4.900 Å, 90.00 90.00 90.00°
Last column: magnetic moment on the atom in μB.
Fractional positions:
Mn (0.000, 0.000, 0.500)  4.27
Mn (0.500, 0.000, 0.000)  4.13
Mn (0.000, 0.500, 0.000)  4.22
Pd (0.000, 0.000, 0.000)  0.31
H (0.500, 0.500, 0.500)  -0.03



DFT (PBE) results for a relaxed Mn3HPd crystal.

Values from the calculation:
- crystal system = cubic
- symmetry = No. 221
- excess energy over the best structure of this formula in the dataset (kJ per mole of atoms) = 0.00
- DFT total energy (eV per atom) = -7.0787
- DOS(E_F) (states/eV per cell) = 5.6

Cell: 3.689 3.689 3.689 Å, 90.00 90.00 90.00°
Last column: magnetic moment on the atom in μB.
Fractional positions:
Mn (0.000, 0.500, 0.000)  1.05
Mn (0.000, 0.000, 0.500)  1.03
Mn (0.500, 0.000, 0.000)  0.94
Pd (0.500, 0.500, 0.500)  -0.04
H (0.000, 0.000, 0.000)  -0.01



DFT (PBE) results for a relaxed Mn3H3Pd crystal.

Values from the calculation:
- crystal system = trigonal
- symmetry = No. 148
- DFT total energy (eV per atom) = -6.0446
- DOS(E_F) (states/eV per cell) = 9.7

Cell: 7.188 7.188 7.188 Å, 36.30 36.30 36.30°
Fractional positions:
H (0.394, 0.744, 0.069)
H (0.256, 0.931, 0.606)
H (0.606, 0.256, 0.931)
H (0.069, 0.394, 0.744)
H (0.931, 0.606, 0.256)
H (0.744, 0.069, 0.394)
Pd (0.333, 0.333, 0.333)
Pd (0.667, 0.667, 0.667)
Mn (0.218, 0.540, 0.879)
Mn (0.121, 0.782, 0.460)
Mn (0.782, 0.460, 0.121)
Mn (0.540, 0.879, 0.218)
Mn (0.460, 0.121, 0.782)
Mn (0.879, 0.218, 0.540)



DFT (PBE) results for a relaxed Mn2HPd crystal.

Values from the calculation:
- crystal system = trigonal
- symmetry = No. 160
- excess energy over the best structure of this formula in the dataset (kJ per mole of atoms) = 0.00
- DFT total energy (eV per atom) = -6.6957
- DOS(E_F) (states/eV per cell) = 3.9

Cell: 2.748 2.748 6.727 Å, 78.21 78.21 60.00°
Last column: magnetic moment on the atom in μB.
Fractional positions:
Mn (0.054, 0.054, 0.838)  -2.69
Mn (0.277, 0.277, 0.168)  2.92
H (0.670, 0.670, 0.990)  0.01
Pd (0.499, 0.499, 0.504)  -0.01



DFT (PBE) results for a relaxed Pm2MnHPd6 crystal.

Values from the calculation:
- crystal system = trigonal
- symmetry = No. 166
- DFT total energy (eV per atom) = -5.8852
- DOS(E_F) (states/eV per cell) = 3.4

Cell: 6.926 5.746 5.743 Å, 60.01 65.49 90.00°
Last column: magnetic moment on the atom in μB.
Fractional positions:
Pd (0.313, 0.272, 0.958)  0.09
Pd (0.686, 0.227, 0.043)  0.09
Pd (0.687, 0.728, 0.542)  0.09
Pd (0.313, 0.272, 0.458)  0.09
Pd (0.314, 0.773, 0.957)  0.09
Pd (0.687, 0.728, 0.042)  0.09
H (0.500, 0.500, 0.000)  0.00
Pm (0.173, 0.725, 0.552)  -0.07
Pm (0.827, 0.275, 0.448)  -0.07
Mn (0.000, 0.000, 0.000)  3.59



DFT (PBE) results for a relaxed MnHPd2Pt crystal.

Values from the calculation:
- crystal system = tetragonal
- symmetry = No. 123
- excess energy over the best structure of this formula in the dataset (kJ per mole of atoms) = 0.00
- DFT total energy (eV per atom) = -6.0147
- DOS(E_F) (states/eV per cell) = 2.7

Cell: 4.008 4.008 3.963 Å, 90.00 90.00 90.00°
Last column: magnetic moment on the atom in μB.
Fractional positions:
H (0.000, 0.000, 0.000)  0.00
Mn (0.500, 0.500, 0.500)  4.00
Pd (0.000, 0.500, 0.000)  0.11
Pd (0.500, 0.000, 0.000)  0.11
Pt (0.000, 0.000, 0.500)  0.11



DFT (PBE) results for a relaxed MnHPd2Pt crystal.

Values from the calculation:
- crystal system = tetragonal
- symmetry = No. 123
- excess energy over the best structure of this formula in the dataset (kJ per mole of atoms) = 3.05
- DFT total energy (eV per atom) = -5.9831
- DOS(E_F) (states/eV per cell) = 3.8

Cell: 3.913 3.913 4.112 Å, 90.00 90.00 90.00°
Last column: magnetic moment on the atom in μB.
Fractional positions:
H (0.000, 0.000, 0.000)  -0.01
Mn (0.000, 0.000, 0.500)  3.85
Pd (0.500, 0.000, 0.000)  0.17
Pd (0.000, 0.500, 0.000)  0.17
Pt (0.500, 0.500, 0.500)  0.24



DFT (PBE) results for a relaxed Rb2MnH6Pd crystal.

Values from the calculation:
- crystal system = trigonal
- symmetry = No. 164
- DFT total energy (eV per atom) = -3.7528
- DOS(E_F) (states/eV per cell) = 2.5

Cell: 5.133 5.985 5.985 Å, 120.00 90.00 90.00°
Last column: magnetic moment on the atom in μB.
Fractional positions:
H (0.722, 0.748, 0.874)  -0.02
H (0.278, 0.874, 0.748)  -0.02
H (0.722, 0.126, 0.252)  -0.02
H (0.722, 0.126, 0.874)  -0.02
H (0.278, 0.252, 0.126)  -0.02
H (0.278, 0.874, 0.126)  -0.02
Rb (0.757, 0.667, 0.333)  0.00
Rb (0.243, 0.333, 0.667)  0.00
Pd (0.000, 0.000, 0.000)  0.07
Mn (0.500, 0.000, 0.000)  2.92



DFT (PBE) results for a relaxed Mn2ReHPd crystal.

Values from the calculation:
- crystal system = tetragonal
- symmetry = No. 123
- excess energy over the best structure of this formula in the dataset (kJ per mole of atoms) = 1.90
- DFT total energy (eV per atom) = -7.6826
- DOS(E_F) (states/eV per cell) = 5.4

Cell: 3.778 3.778 3.766 Å, 90.00 90.00 90.00°
Fractional positions:
H (0.000, 0.000, 0.000)
Mn (0.000, 0.500, 0.000)
Mn (0.500, 0.000, 0.000)
Re (0.000, 0.000, 0.500)
Pd (0.500, 0.500, 0.500)



DFT (PBE) results for a relaxed Mn2ReHPd crystal.

Values from the calculation:
- crystal system = tetragonal
- symmetry = No. 123
- excess energy over the best structure of this formula in the dataset (kJ per mole of atoms) = 0.00
- DFT total energy (eV per atom) = -7.7023
- DOS(E_F) (states/eV per cell) = 3.1

Cell: 3.847 3.847 3.717 Å, 90.00 90.00 90.00°
Last column: magnetic moment on the atom in μB.
Fractional positions:
H (0.000, 0.000, 0.000)  -0.02
Re (0.500, 0.500, 0.500)  -0.97
Mn (0.000, 0.500, 0.000)  1.64
Mn (0.500, 0.000, 0.000)  1.64
Pd (0.000, 0.000, 0.500)  -0.06



DFT (PBE) results for a relaxed MnHPdRh2 crystal.

Values from the calculation:
- crystal system = tetragonal
- symmetry = No. 123
- excess energy over the best structure of this formula in the dataset (kJ per mole of atoms) = 0.00
- DFT total energy (eV per atom) = -6.5779
- DOS(E_F) (states/eV per cell) = 5.2

Cell: 3.915 3.915 3.923 Å, 90.00 90.00 90.00°
Last column: magnetic moment on the atom in μB.
Fractional positions:
Mn (0.500, 0.500, 0.500)  3.64
H (0.000, 0.000, 0.000)  0.00
Pd (0.000, 0.000, 0.500)  0.10
Rh (0.000, 0.500, 0.000)  -0.01
Rh (0.500, 0.000, 0.000)  -0.01



DFT (PBE) results for a relaxed MnHPdRh2 crystal.

Values from the calculation:
- crystal system = tetragonal
- symmetry = No. 123
- excess energy over the best structure of this formula in the dataset (kJ per mole of atoms) = 0.34
- DFT total energy (eV per atom) = -6.5743
- DOS(E_F) (states/eV per cell) = 5.3

Cell: 3.886 3.886 3.950 Å, 90.00 90.00 90.00°
Last column: magnetic moment on the atom in μB.
Fractional positions:
Rh (0.500, 0.000, 0.000)  0.08
Rh (0.000, 0.500, 0.000)  0.08
Pd (0.500, 0.500, 0.500)  0.13
Mn (0.000, 0.000, 0.500)  3.57
H (0.000, 0.000, 0.000)  -0.01



DFT (PBE) results for a relaxed MnHPd2Rh crystal.

Values from the calculation:
- crystal system = tetragonal
- symmetry = No. 123
- excess energy over the best structure of this formula in the dataset (kJ per mole of atoms) = 0.00
- DFT total energy (eV per atom) = -6.1819
- DOS(E_F) (states/eV per cell) = 5.1

Cell: 3.965 3.965 3.930 Å, 90.00 90.00 90.00°
Last column: magnetic moment on the atom in μB.
Fractional positions:
H (0.000, 0.000, 0.000)  0.00
Pd (0.500, 0.000, 0.000)  0.07
Pd (0.000, 0.500, 0.000)  0.07
Mn (0.500, 0.500, 0.500)  3.85
Rh (0.000, 0.000, 0.500)  0.01



DFT (PBE) results for a relaxed MnHPd2Rh crystal.

Values from the calculation:
- crystal system = tetragonal
- symmetry = No. 123
- excess energy over the best structure of this formula in the dataset (kJ per mole of atoms) = 7.10
- DFT total energy (eV per atom) = -6.1083
- DOS(E_F) (states/eV per cell) = 4.8

Cell: 3.886 3.886 4.061 Å, 90.00 90.00 90.00°
Last column: magnetic moment on the atom in μB.
Fractional positions:
Pd (0.500, 0.000, 0.000)  0.14
Pd (0.000, 0.500, 0.000)  0.14
H (0.000, 0.000, 0.000)  -0.01
Mn (0.000, 0.000, 0.500)  3.67
Rh (0.500, 0.500, 0.500)  0.27



DFT (PBE) results for a relaxed MnHPd2Ru crystal.

Values from the calculation:
- crystal system = tetragonal
- symmetry = No. 123
- DFT total energy (eV per atom) = -6.3134
- DOS(E_F) (states/eV per cell) = 5.9

Cell: 3.861 3.861 4.063 Å, 90.00 90.00 90.00°
Last column: magnetic moment on the atom in μB.
Fractional positions:
H (0.000, 0.000, 0.000)  -0.01
Pd (0.500, 0.000, 0.000)  0.05
Pd (0.000, 0.500, 0.000)  0.05
Ru (0.500, 0.500, 0.500)  -0.09
Mn (0.000, 0.000, 0.500)  3.40



DFT (PBE) results for a relaxed MnH2PdS crystal.

Values from the calculation:
- crystal system = tetragonal
- symmetry = No. 123
- DFT total energy (eV per atom) = -5.0850
- DOS(E_F) (states/eV per cell) = 1.8

Cell: 3.473 3.473 5.109 Å, 90.00 90.00 90.00°
Last column: magnetic moment on the atom in μB.
Fractional positions:
H (0.000, 0.500, 0.000)  0.01
H (0.500, 0.000, 0.000)  0.01
S (0.000, 0.000, 0.500)  0.06
Pd (0.000, 0.000, 0.000)  0.06
Mn (0.500, 0.500, 0.500)  4.15



DFT (PBE) results for a relaxed MnH2PdSe crystal.

Values from the calculation:
- crystal system = tetragonal
- symmetry = No. 123
- DFT total energy (eV per atom) = -4.8812
- DOS(E_F) (states/eV per cell) = 1.8

Cell: 3.574 3.574 5.294 Å, 90.00 90.00 90.00°
Last column: magnetic moment on the atom in μB.
Fractional positions:
H (0.500, 0.000, 0.000)  0.01
H (0.000, 0.500, 0.000)  0.01
Se (0.000, 0.000, 0.500)  0.05
Mn (0.500, 0.500, 0.500)  4.11
Pd (0.000, 0.000, 0.000)  0.05



DFT (PBE) results for a relaxed MnHPd2Se crystal.

Values from the calculation:
- crystal system = tetragonal
- symmetry = No. 123
- DFT total energy (eV per atom) = -5.3707
- DOS(E_F) (states/eV per cell) = 2.3

Cell: 3.961 3.961 4.311 Å, 90.00 90.00 90.00°
Last column: magnetic moment on the atom in μB.
Fractional positions:
Pd (0.000, 0.500, 0.000)  0.11
Pd (0.500, 0.000, 0.000)  0.11
Mn (0.000, 0.000, 0.500)  4.01
H (0.000, 0.000, 0.000)  -0.02
Se (0.500, 0.500, 0.500)  0.02



DFT (PBE) results for a relaxed Sm2MnHPd6 crystal.

Values from the calculation:
- crystal system = trigonal
- symmetry = No. 166
- DFT total energy (eV per atom) = -5.8825
- DOS(E_F) (states/eV per cell) = 3.5

Cell: 6.915 5.732 5.730 Å, 60.00 65.51 90.00°
Last column: magnetic moment on the atom in μB.
Fractional positions:
Sm (0.172, 0.724, 0.552)  -0.07
Sm (0.828, 0.276, 0.448)  -0.07
H (0.500, 0.500, 0.000)  0.00
Pd (0.687, 0.729, 0.542)  0.09
Pd (0.686, 0.228, 0.043)  0.10
Pd (0.687, 0.729, 0.042)  0.10
Pd (0.314, 0.772, 0.957)  0.10
Pd (0.313, 0.271, 0.958)  0.10
Pd (0.313, 0.271, 0.458)  0.09
Mn (0.000, 0.000, 0.000)  3.58



DFT (PBE) results for a relaxed MnSnHPd2 crystal.

Values from the calculation:
- crystal system = tetragonal
- symmetry = No. 123
- DFT total energy (eV per atom) = -5.5954
- DOS(E_F) (states/eV per cell) = 3.2

Cell: 4.075 4.075 4.082 Å, 90.00 90.00 90.00°
Last column: magnetic moment on the atom in μB.
Fractional positions:
H (0.000, 0.000, 0.000)  -0.02
Sn (0.500, 0.500, 0.500)  -0.15
Pd (0.500, 0.000, 0.000)  -0.01
Pd (0.000, 0.500, 0.000)  -0.01
Mn (0.000, 0.000, 0.500)  3.47



DFT (PBE) results for a relaxed SrMnH8Pd2 crystal.

Values from the calculation:
- crystal system = trigonal
- symmetry = No. 148
- DFT total energy (eV per atom) = -4.1056
- DOS(E_F) (states/eV per cell) = 2.7

Cell: 4.759 4.759 6.430 Å, 68.28 68.28 60.00°
Last column: magnetic moment on the atom in μB.
Fractional positions:
H (0.659, 0.276, 0.154)  -0.02
H (0.089, 0.341, 0.846)  -0.02
H (0.911, 0.659, 0.154)  -0.02
H (0.192, 0.192, 0.424)  0.01
H (0.341, 0.724, 0.846)  -0.02
H (0.724, 0.089, 0.846)  -0.02
H (0.276, 0.911, 0.154)  -0.02
H (0.808, 0.808, 0.576)  0.01
Sr (0.500, 0.500, 0.500)  0.00
Mn (0.000, 0.000, 0.000)  2.92
Pd (0.287, 0.287, 0.138)  0.08
Pd (0.713, 0.713, 0.862)  0.08



DFT (PBE) results for a relaxed TaMn2HPd crystal.

Values from the calculation:
- crystal system = tetragonal
- symmetry = No. 123
- excess energy over the best structure of this formula in the dataset (kJ per mole of atoms) = 1.12
- DFT total energy (eV per atom) = -7.7980
- DOS(E_F) (states/eV per cell) = 3.1

Cell: 3.985 3.985 3.736 Å, 90.00 90.00 90.00°
Last column: magnetic moment on the atom in μB.
Fractional positions:
Ta (0.500, 0.500, 0.500)  -0.69
Mn (0.000, 0.500, 0.000)  2.36
Mn (0.500, 0.000, 0.000)  2.36
H (0.000, 0.000, 0.000)  -0.03
Pd (0.000, 0.000, 0.500)  0.03



DFT (PBE) results for a relaxed Ta2MnHPd crystal.

Values from the calculation:
- crystal system = tetragonal
- symmetry = No. 123
- DFT total energy (eV per atom) = -8.3690
- DOS(E_F) (states/eV per cell) = 5.4

Cell: 4.165 4.165 3.694 Å, 90.00 90.00 90.00°
Last column: magnetic moment on the atom in μB.
Fractional positions:
Ta (0.000, 0.500, 0.000)  0.00
Ta (0.500, 0.000, 0.000)  0.00
Mn (0.000, 0.000, 0.500)  0.05
Pd (0.500, 0.500, 0.500)  0.00
H (0.000, 0.000, 0.000)  0.00



DFT (PBE) results for a relaxed TaMn2HPd crystal.

Values from the calculation:
- crystal system = tetragonal
- symmetry = No. 123
- excess energy over the best structure of this formula in the dataset (kJ per mole of atoms) = 0.00
- DFT total energy (eV per atom) = -7.8096
- DOS(E_F) (states/eV per cell) = 4.4

Cell: 3.852 3.852 3.988 Å, 90.00 90.00 90.00°
Last column: magnetic moment on the atom in μB.
Fractional positions:
H (0.000, 0.000, 0.000)  -0.02
Ta (0.000, 0.000, 0.500)  -0.52
Mn (0.000, 0.500, 0.000)  2.20
Mn (0.500, 0.000, 0.000)  2.20
Pd (0.500, 0.500, 0.500)  0.01



DFT (PBE) results for a relaxed MnTc2HPd crystal.

Values from the calculation:
- crystal system = tetragonal
- symmetry = No. 123
- DFT total energy (eV per atom) = -7.6183
- DOS(E_F) (states/eV per cell) = 4.6

Cell: 3.860 3.860 3.963 Å, 90.00 90.00 90.00°
Last column: magnetic moment on the atom in μB.
Fractional positions:
Mn (0.000, 0.000, 0.500)  2.81
Pd (0.500, 0.500, 0.500)  0.00
Tc (0.000, 0.500, 0.000)  -0.47
Tc (0.500, 0.000, 0.000)  -0.47
H (0.000, 0.000, 0.000)  -0.01